Record 1
# Ti3MnV2P6O24 (SCAN, PBEsol geometry)
data_Ti3MnV2P6O24
_cell_length_a 8.6179
_cell_length_b 8.6179
_cell_length_c 20.2739
_cell_angle_alpha 90.00
_cell_angle_beta 90.00
_cell_angle_gamma 120.00
_space_group_name_H-M_alt 'R 3'
_space_group_IT_number 146
_space_group_name_Hall 'R 3'
loop_
_atom_site_label
_atom_site_fract_x
_atom_site_fract_y
_atom_site_fract_z
Ti1 0.0000 0.0000 0.0000
Ti2 0.0000 0.0000 0.2146
Ti3 0.0000 0.0000 0.5026
Mn1 0.0000 0.0000 0.7145
V1 0.0000 0.0000 0.3581
V2 0.0000 0.0000 0.8595
P1 0.0000 0.2971 0.6106
P2 0.0022 0.7068 0.1091
O1 0.0060 0.1749 0.2820
O2 0.0073 0.2137 0.6742
O3 0.0230 0.8307 0.7907
O4 0.0315 0.8297 0.1684
O5 0.1436 0.6725 0.7135
O6 0.1491 0.4734 0.2166
O7 0.1684 0.4863 0.5979
O8 0.1686 0.6817 0.0994
# VASP energy: -0.4188 hartree per atom

***

Record 2
# SiIr3Ru (SCAN, PBEsol geometry)
data_SiIr3Ru
_cell_length_a 4.318
_cell_length_b 4.318
_cell_length_c 4.318
_cell_angle_alpha 90.00
_cell_angle_beta 90.00
_cell_angle_gamma 90.00
_space_group_name_H-M_alt 'P m -3 m'
_space_group_IT_number 221
_space_group_name_Hall '-P 4 2 3'
loop_
_atom_site_label
_atom_site_fract_x
_atom_site_fract_y
_atom_site_fract_z
Si1 0.000 0.000 0.000
Ir1 0.000 0.000 0.500
Ru1 0.500 0.500 0.500
# VASP energy: -1.8579 hartree per atom

***

Record 3
# Ta5Os (SCAN, PBEsol geometry)
data_Ta5Os
_cell_length_a 10.261
_cell_length_b 3.222
_cell_length_c 6.459
_cell_angle_alpha 90.00
_cell_angle_beta 109.01
_cell_angle_gamma 90.00
_space_group_name_H-M_alt 'C 1 2/m 1'
_space_group_IT_number 12
loop_
_space_group_symop_operation_xyz
'x,y,z'
'-x,-y,-z'
'-x,y,-z'
'x,-y,z'
'x+1/2,y+1/2,z'
'-x+1/2,-y+1/2,-z'
'-x+1/2,y+1/2,-z'
'x+1/2,-y+1/2,z'
loop_
_atom_site_label
_atom_site_fract_x
_atom_site_fract_y
_atom_site_fract_z
Ta1 0.000 0.000 0.000
Ta2 0.164 0.500 0.336
Ta3 0.164 0.500 0.828
Os1 0.000 0.000 0.500
# Energy relative to the lowest polymorph listed for this composition: 0 meV per atom

***

Record 4
# WSeCl (SCAN, PBEsol geometry)
data_WSeCl
_cell_length_a 3.017
_cell_length_b 3.017
_cell_length_c 12.713
_cell_angle_alpha 90.00
_cell_angle_beta 90.00
_cell_angle_gamma 90.00
_space_group_name_H-M_alt 'I 4 m m'
_space_group_IT_number 107
_space_group_name_Hall 'I 4 -2'
loop_
_atom_site_label
_atom_site_fract_x
_atom_site_fract_y
_atom_site_fract_z
W1 0.000 0.000 0.000
Se1 0.000 0.000 0.382
Cl1 0.000 0.000 0.622
# Energy relative to the lowest polymorph listed for this composition: 0 meV per atom